(1)
VASP calculation (PBE) on a relaxed Nd2TlSe crystal.

Summary:
* N(E_F): 2.84 states/eV per cell
* total magnetic moment: 0.00 Bohr magnetons per cell
* polymorph energy (0 for the lowest one): 0.53 eV/f.u.
* E_form (uncorrected): -0.95 eV/atom

Cell: 3.621 3.621 8.285 Å, 90.00 90.00 90.00°
Sites, in units of the cell vectors:
Tl  0.500  0.500  0.500
Nd  0.000  0.000  0.772
Nd  0.000  0.000  0.228
Se  0.500  0.500  0.000

---

(2)
VASP calculation (PBE) on a relaxed NdTl5Se4 crystal.

Summary:
* total magnetic moment: 0.00 Bohr magnetons per cell
* E_form (uncorrected): -0.76 eV/atom

Cell: 4.366 8.761 9.900 Å, 111.97 102.74 90.00°
Sites, in units of the cell vectors:
Nd  0.500  0.000  0.000
Tl  0.807  0.686  0.613
Tl  0.847  0.196  0.693
Tl  0.153  0.804  0.307
Tl  0.500  0.500  0.000
Tl  0.193  0.314  0.387
Se  0.338  0.951  0.676
Se  0.969  0.749  0.939
Se  0.662  0.049  0.324
Se  0.031  0.251  0.061

---

(3)
VASP calculation (PBE) on a relaxed NdTl4Se4 crystal.

Summary:
* N(E_F): 5.88 states/eV per cell
* total magnetic moment: 0.00 Bohr magnetons per cell
* E_form (uncorrected): -0.76 eV/atom

Cell: 4.363 7.677 9.814 Å, 69.95 77.16 73.49°
Sites, in units of the cell vectors:
Nd  0.500  0.000  0.000
Tl  0.715  0.365  0.206
Tl  0.912  0.763  0.414
Tl  0.285  0.635  0.794
Tl  0.088  0.237  0.586
Se  0.329  0.041  0.302
Se  0.671  0.959  0.698
Se  0.902  0.286  0.910
Se  0.098  0.714  0.090

---

(4)
VASP calculation (PBE) on a relaxed Nd3TlSe2 crystal.

Summary:
* N(E_F): 1.54 states/eV per cell
* total magnetic moment: 0.00 Bohr magnetons per cell
* E_form (uncorrected): -1.36 eV/atom

Cell: 4.219 6.147 7.644 Å, 113.71 106.01 90.00°
Sites, in units of the cell vectors:
Nd  0.500  0.500  0.000
Nd  0.178  0.178  0.356
Nd  0.822  0.822  0.644
Tl  0.500  0.000  0.000
Se  0.164  0.664  0.328
Se  0.836  0.336  0.672

---

(5)
VASP calculation (PBE) on a relaxed NdTm3Tl4Se8 crystal.

Summary:
* total magnetic moment: 0.00 Bohr magnetons per cell
* E_form (uncorrected): -1.37 eV/atom

Cell: 8.369 9.156 8.369 Å, 117.22 120.00 90.00°
Sites, in units of the cell vectors:
Nd  0.000  0.500  0.000
Tm  0.500  0.500  0.000
Tm  0.500  0.500  0.500
Tm  0.000  0.500  0.500
Tl  0.500  0.000  0.000
Tl  0.500  0.000  0.500
Tl  0.000  0.000  0.000
Tl  0.000  0.000  0.500
Se  0.240  0.705  0.965
Se  0.240  0.705  0.480
Se  0.267  0.300  0.533
Se  0.725  0.705  0.965
Se  0.275  0.295  0.035
Se  0.733  0.700  0.467
Se  0.760  0.295  0.520
Se  0.760  0.295  0.035

---

(6)
VASP calculation (PBE) on a relaxed Nd3TmTl4Se8 crystal.

Summary:
* total magnetic moment: 0.00 Bohr magnetons per cell
* E_form (uncorrected): -1.37 eV/atom

Cell: 8.560 9.203 8.560 Å, 117.75 120.00 90.00°
Sites, in units of the cell vectors:
Nd  0.500  0.500  0.000
Nd  0.500  0.500  0.500
Nd  0.000  0.500  0.500
Tm  0.000  0.500  0.000
Tl  0.500  0.000  0.000
Tl  0.500  0.000  0.500
Tl  0.000  0.000  0.000
Tl  0.000  0.000  0.500
Se  0.231  0.707  0.977
Se  0.231  0.707  0.461
Se  0.262  0.288  0.525
Se  0.746  0.707  0.977
Se  0.254  0.293  0.023
Se  0.738  0.712  0.475
Se  0.769  0.293  0.539
Se  0.769  0.293  0.023

---

(7)
VASP calculation (PBE) on a relaxed Nd2TmTl3Se6 crystal.

Summary:
* total magnetic moment: 0.00 Bohr magnetons per cell
* E_form (uncorrected): -1.37 eV/atom

Cell: 7.385 7.385 8.144 Å, 98.70 98.70 119.98°
Sites, in units of the cell vectors:
Nd  0.333  0.667  0.000
Nd  0.667  0.333  0.000
Tm  0.000  0.000  0.000
Tl  0.169  0.831  0.500
Tl  0.831  0.169  0.500
Tl  0.500  0.500  0.500
Se  0.931  0.609  0.793
Se  0.748  0.748  0.209
Se  0.069  0.391  0.207
Se  0.609  0.931  0.793
Se  0.252  0.252  0.791
Se  0.391  0.069  0.207

---

(8)
VASP calculation (PBE) on a relaxed NdU3Tl3Se8 crystal.

Summary:
* N(E_F): 16.44 states/eV per cell
* total magnetic moment: 8.00 Bohr magnetons per cell
* E_form (uncorrected): -1.07 eV/atom

Cell: 8.393 8.393 9.193 Å, 117.19 90.00 120.00°
Each line ends with the local moment (μB).
Sites, in units of the cell vectors:
Nd  0.000  0.000  0.500  0.07
U  0.500  0.000  0.500  2.51
U  0.500  0.500  0.500  2.51
U  0.000  0.500  0.500  2.51
Tl  0.000  0.000  0.000  0.00
Tl  0.000  0.500  0.000  0.00
Tl  0.500  0.500  0.000  0.00
Se  0.265  0.530  0.295  -0.06
Se  0.735  0.470  0.705  -0.06
Se  0.759  0.519  0.294  -0.05
Se  0.241  0.481  0.706  -0.05
Se  0.759  0.034  0.294  -0.05
Se  0.241  0.966  0.706  -0.05
Se  0.275  0.034  0.294  -0.05
Se  0.725  0.966  0.706  -0.05

---

(9)
VASP calculation (PBE) on a relaxed NdU2Tl3Se6 crystal.

Summary:
* N(E_F): 9.79 states/eV per cell
* total magnetic moment: 6.00 Bohr magnetons per cell
* E_form (uncorrected): -1.04 eV/atom

Cell: 7.321 7.321 8.203 Å, 98.55 98.55 119.99°
Each line ends with the local moment (μB).
Sites, in units of the cell vectors:
Nd  0.000  0.000  0.000  0.12
U  0.333  0.667  0.000  2.65
U  0.667  0.333  0.000  2.65
Tl  0.165  0.835  0.500  0.01
Tl  0.835  0.165  0.500  0.01
Tl  0.500  0.500  0.500  0.01
Se  0.930  0.588  0.792  -0.04
Se  0.726  0.726  0.206  -0.04
Se  0.070  0.412  0.208  -0.04
Se  0.588  0.930  0.792  -0.04
Se  0.274  0.274  0.794  -0.04
Se  0.412  0.070  0.208  -0.04

---

(10)
VASP calculation (PBE) on a relaxed NdUTl2Se4 crystal.

Summary:
* N(E_F): 7.03 states/eV per cell
* total magnetic moment: 3.00 Bohr magnetons per cell
* E_form (uncorrected): -1.11 eV/atom

Cell: 4.260 7.376 8.179 Å, 107.47 90.00 90.00°
Each line ends with the local moment (μB).
Sites, in units of the cell vectors:
Nd  0.000  0.000  0.000  0.09
U  0.500  0.500  0.000  2.64
Tl  0.500  0.000  0.500  0.00
Tl  0.000  0.500  0.500  0.01
Se  0.500  0.243  0.210  -0.02
Se  0.500  0.757  0.790  -0.02
Se  0.000  0.272  0.793  -0.04
Se  0.000  0.728  0.207  -0.04

---

(11)
VASP calculation (PBE) on a relaxed NdU2Tl2Se6 crystal.

Summary:
* N(E_F): 13.62 states/eV per cell
* total magnetic moment: 5.00 Bohr magnetons per cell
* E_form (uncorrected): -1.14 eV/atom

Cell: 7.297 7.297 8.171 Å, 98.30 98.30 120.19°
Each line ends with the local moment (μB).
Sites, in units of the cell vectors:
Nd  0.000  0.000  0.500  0.06
U  0.334  0.666  0.500  2.41
U  0.666  0.334  0.500  2.41
Tl  0.836  0.164  0.000  0.00
Tl  0.164  0.836  0.000  0.00
Se  0.722  0.722  0.704  -0.05
Se  0.064  0.410  0.704  -0.05
Se  0.278  0.278  0.296  -0.05
Se  0.410  0.064  0.704  -0.05
Se  0.936  0.590  0.296  -0.05
Se  0.590  0.936  0.296  -0.05

---

(12)
VASP calculation (PBE) on a relaxed Nd2UTl3Se6 crystal.

Summary:
* N(E_F): 10.43 states/eV per cell
* total magnetic moment: 3.00 Bohr magnetons per cell
* E_form (uncorrected): -1.20 eV/atom

Cell: 7.425 7.425 8.156 Å, 98.73 98.73 119.95°
Each line ends with the local moment (μB).
Sites, in units of the cell vectors:
Nd  0.333  0.667  0.000  0.07
Nd  0.667  0.333  0.000  0.07
U  0.000  0.000  0.000  2.58
Tl  0.168  0.832  0.500  0.00
Tl  0.832  0.168  0.500  0.00
Tl  0.500  0.500  0.500  0.00
Se  0.930  0.605  0.791  -0.02
Se  0.745  0.745  0.210  -0.02
Se  0.070  0.395  0.209  -0.02
Se  0.605  0.930  0.791  -0.02
Se  0.255  0.255  0.790  -0.02
Se  0.395  0.070  0.209  -0.02